No. 1
Computed, not measured: a relaxed structure of Ta2InPt at the PBE level of DFT.

Geometry as POSCAR:
```
Ta2InPt
1.0
2.8937 0.0000 0.0000
0.0000 4.6741 0.0000
-0.4468 0.0000 5.3180
Ta In Pt
2 1 1
Direct
0.0000 0.0000 0.0000
0.1768 0.5000 0.7080
0.5843 0.5000 0.2089
0.5799 0.0000 0.5052
```

Computed properties:
energy: -8.24 eV per atom
energy of formation from the pure elements: -114 meV/atom



No. 2
Computed, not measured: a relaxed structure of Pm2DyNpN4 at the PBE level of DFT.

Geometry as POSCAR:
```
Pm2DyNpN4
1.0
6.0611 0.0000 0.0000
0.0000 3.5250 0.0000
-1.9768 0.0000 5.7787
Pm Dy Np N
2 1 1 4
Direct
0.0000 0.0000 0.0000
0.5000 0.5000 0.0000
0.0000 0.5000 0.5000
0.5000 0.0000 0.5000
0.2598 0.0000 0.7252
0.2648 0.5000 0.2732
0.7352 0.5000 0.7268
0.7402 0.0000 0.2748
```

Computed properties:
energy: -8.98 eV per atom



What did the first record say?
Computed, not measured: a relaxed structure of Ta2InPt at the PBE level of DFT.

Geometry as POSCAR:
```
Ta2InPt
1.0
2.8937 0.0000 0.0000
0.0000 4.6741 0.0000
-0.4468 0.0000 5.3180
Ta In Pt
2 1 1
Direct
0.0000 0.0000 0.0000
0.1768 0.5000 0.7080
0.5843 0.5000 0.2089
0.5799 0.0000 0.5052
```

Computed properties:
energy: -8.24 eV per atom
energy of formation from the pure elements: -114 meV/atom



energy of number 1 (Ta2InPt)? -8.24 eV per atom



energy of number 1 (Ta2InPt)? -8.24 eV per atom